Entry 1:
# SrLiMo (PBE, optimized geometry)
data_SrLiMo
_cell_length_a 12.021
_cell_length_b 3.538
_cell_length_c 7.437
_cell_angle_alpha 90.00
_cell_angle_beta 94.85
_cell_angle_gamma 90.00
_symmetry_space_group_name_H-M 'C 1 2/m 1'
_symmetry_Int_Tables_number 12
_symmetry_space_group_name_Hall '-C 2y'
loop_
_atom_site_label
_atom_site_fract_x
_atom_site_fract_y
_atom_site_fract_z
_atom_site_occupancy
Sr1 0.039 0.000 0.247 1
Li1 0.226 0.000 0.656 1
Mo1 0.190 0.500 0.947 1
# Fermi-level density of states = 0.40 states/eV per atom
# Distance to the lowest polymorph of the same formula = 18.2 kJ/mol of formula units
# Total magnetization = 0.00 μB/f.u.
# Formation energy = 0.4382 eV/atom


Entry 2:
# Ho5ThSc4 (PBE, optimized geometry)
data_Ho5ThSc4
_cell_length_a 16.164
_cell_length_b 3.396
_cell_length_c 10.945
_cell_angle_alpha 90.00
_cell_angle_beta 108.43
_cell_angle_gamma 90.00
_symmetry_space_group_name_H-M 'C 1 2/m 1'
_symmetry_Int_Tables_number 12
_symmetry_space_group_name_Hall '-C 2y'
loop_
_atom_site_label
_atom_site_fract_x
_atom_site_fract_y
_atom_site_fract_z
_atom_site_occupancy
Ho1 0.000 0.000 0.000 1
Ho2 0.191 0.500 0.080 1
Ho3 0.209 0.500 0.618 1
Th1 0.000 0.000 0.500 1
Sc1 0.080 0.500 0.294 1
Sc2 0.104 0.000 0.798 1
# Fermi-level density of states = 1.59 states/eV per atom
# Distance to the lowest polymorph of the same formula = 0.0 kJ/mol of formula units
# Total magnetization = 0.00 μB/f.u.
# Formation energy = 0.0412 eV/atom


Entry 3:
# H2RhPb2 (PBE, optimized geometry)
data_H2RhPb2
_cell_length_a 10.639
_cell_length_b 6.785
_cell_length_c 5.418
_cell_angle_alpha 90.00
_cell_angle_beta 106.69
_cell_angle_gamma 90.00
_symmetry_space_group_name_H-M 'C 1 2/c 1'
_symmetry_Int_Tables_number 15
_symmetry_space_group_name_Hall '-C 2yc'
loop_
_atom_site_label
_atom_site_fract_x
_atom_site_fract_y
_atom_site_fract_z
_atom_site_occupancy
H1 0.103 0.063 0.059 1
Rh1 0.000 0.005 0.750 1
Pb1 0.119 0.330 0.564 1
# Fermi-level density of states = 0.39 states/eV per atom
# E = -4.283 eV per atom
# Total magnetization = 0.00 μB/f.u.


What did the first record say?
# SrLiMo (PBE, optimized geometry)
data_SrLiMo
_cell_length_a 12.021
_cell_length_b 3.538
_cell_length_c 7.437
_cell_angle_alpha 90.00
_cell_angle_beta 94.85
_cell_angle_gamma 90.00
_symmetry_space_group_name_H-M 'C 1 2/m 1'
_symmetry_Int_Tables_number 12
_symmetry_space_group_name_Hall '-C 2y'
loop_
_atom_site_label
_atom_site_fract_x
_atom_site_fract_y
_atom_site_fract_z
_atom_site_occupancy
Sr1 0.039 0.000 0.247 1
Li1 0.226 0.000 0.656 1
Mo1 0.190 0.500 0.947 1
# Fermi-level density of states = 0.40 states/eV per atom
# Distance to the lowest polymorph of the same formula = 18.2 kJ/mol of formula units
# Total magnetization = 0.00 μB/f.u.
# Formation energy = 0.4382 eV/atom